The following is a DFT calculation (PBE) of an optimized crystal structure of KNa2CuHg.

a = 5.5932 Å, b = 5.5932 Å, c = 5.1793 Å
α = 90.00°, β = 90.00°, γ = 90.00°
Space group P4/mmm (No. 123)
Unique sites:
K 0.0000 0.0000 0.0000
Na 0.0000 0.5000 0.5000
Cu 0.5000 0.5000 0.5000
Hg 0.5000 0.5000 0.0000

Energy relative to the elements ... 0.042 eV per atom
D(E_F) ... 2.5 states/eV/cell